DFT (GGA+U) results for a geometry-optimized K4RbCr3F12 structure.

Properties
Magnetization: 11.00 μB per formula unit
Electronic total energy: -104.30 eV/cell

Lattice parameters (Å, degrees): 7.604 7.604 7.604 109.47 109.47 109.47
Fractional coordinates of all 20 atoms:
K 0.500 0.500 0.500
K 0.000 0.000 0.500
K 0.500 0.000 0.000
K 0.000 0.500 0.000
Rb 0.000 0.000 0.000
Cr 0.500 0.000 0.500
Cr 0.500 0.500 0.000
Cr 0.000 0.500 0.500
F 0.250 0.500 0.750
F 0.718 0.000 0.718
F 0.282 0.000 0.282
F 0.750 0.500 0.250
F 0.718 0.718 0.000
F 0.282 0.282 0.000
F 0.750 0.250 0.500
F 0.250 0.750 0.500
F 0.500 0.250 0.750
F 0.000 0.718 0.718
F 0.500 0.750 0.250
F 0.000 0.282 0.282